[1]
Computed, not measured: a relaxed structure of LaTc3Ir at the GGA-PBE level of DFT. Values from VASP.

Properties
Space group: Pm-3m (221)
Total energy: -6.599 eV/atom
Energy of formation: 2.3787 eV per atom
Excess energy over the best structure of this formula in the dataset: 1430.8 meV per atom

```
&SYSTEM
  ibrav = 0, nat = 5, ntyp = 3
/
ATOMIC_SPECIES
Ir 192.22 Ir.upf
Tc 98.00 Tc.upf
La 138.91 La.upf
CELL_PARAMETERS angstrom
4.650 0.000 0.000
0.000 4.650 0.000
0.000 0.000 4.650
ATOMIC_POSITIONS crystal
Ir 0.500 0.500 0.500
Tc 0.000 0.500 0.000
Tc 0.000 0.000 0.500
Tc 0.500 0.000 0.000
La 0.000 0.000 0.000
```

[2]
Computed, not measured: a relaxed structure of TiC3N at the GGA-PBE level of DFT. Values from VASP.

Properties
Space group: Pm-3m (221)
Total energy: -5.588 eV/atom
Energy relative to the elements, uncorrected: 3.191 eV/atom
Excess energy over the best structure of this formula in the dataset: 714.7 meV per atom

```
&SYSTEM
  ibrav = 0, nat = 5, ntyp = 3
/
ATOMIC_SPECIES
C 12.01 C.upf
N 14.01 N.upf
Ti 47.87 Ti.upf
CELL_PARAMETERS angstrom
-3.299 -2.271 0.828
2.252 -3.397 -0.342
0.878 0.180 3.991
ATOMIC_POSITIONS crystal
C 0.000 0.500 0.000
C 0.000 0.000 0.500
C 0.500 0.000 0.000
N 0.500 0.500 0.500
Ti 0.000 0.000 0.000
```

[3]
Computed, not measured: a relaxed structure of La8Co3CuBr4 at the GGA-PBE level of DFT. Values from VASP.

Properties
Space group: C2/m (12)
Total energy: -5.271 eV/atom
Energy relative to the elements, uncorrected: -0.801 eV/atom

```
&SYSTEM
  ibrav = 0, nat = 16, ntyp = 4
/
ATOMIC_SPECIES
La 138.91 La.upf
Co 58.93 Co.upf
Cu 63.55 Cu.upf
Br 79.90 Br.upf
CELL_PARAMETERS angstrom
-4.667 -6.327 -2.314
7.192 -5.661 0.971
-2.149 4.463 6.647
ATOMIC_POSITIONS crystal
La 0.242 0.694 0.960
La 0.238 0.692 0.477
La 0.265 0.306 0.531
La 0.718 0.694 0.960
La 0.282 0.306 0.040
La 0.735 0.694 0.469
La 0.762 0.308 0.523
La 0.758 0.306 0.040
Co 0.500 0.500 0.000
Co 0.500 0.500 0.500
Co 0.000 0.500 0.500
Cu 0.000 0.500 0.000
Br 0.500 0.000 0.000
Br 0.500 0.000 0.500
Br 0.000 0.000 0.000
Br 0.000 0.000 0.500
```

[4]
Computed, not measured: a relaxed structure of CdNi2PRu at the GGA-PBE level of DFT. Values from VASP.

Properties
Space group: P4/mmm (123)
Total energy: -3.644 eV/atom
Energy of formation: 1.7890 eV per atom

```
&SYSTEM
  ibrav = 0, nat = 5, ntyp = 4
/
ATOMIC_SPECIES
Ru 101.07 Ru.upf
Ni 58.69 Ni.upf
P 30.97 P.upf
Cd 112.41 Cd.upf
CELL_PARAMETERS angstrom
4.635 0.000 0.000
0.000 4.651 0.000
0.000 0.000 4.635
ATOMIC_POSITIONS crystal
Ru 0.500 0.500 0.500
Ni 0.000 0.000 0.500
Ni 0.500 0.000 0.000
P 0.000 0.500 0.000
Cd 0.000 0.000 0.000
```

[5]
Computed, not measured: a relaxed structure of VZn4Rh5 at the GGA-PBE level of DFT. Values from VASP.

Properties
Space group: P4/mmm (123)
Total energy: -5.513 eV/atom
Energy of formation: -0.4154 eV per atom

```
&SYSTEM
  ibrav = 0, nat = 10, ntyp = 3
/
ATOMIC_SPECIES
V 50.94 V.upf
Zn 65.41 Zn.upf
Rh 102.91 Rh.upf
CELL_PARAMETERS angstrom
3.031 0.000 0.000
0.000 3.031 0.000
0.000 0.000 15.041
ATOMIC_POSITIONS crystal
V 0.000 0.000 0.000
Zn 0.000 0.000 0.203
Zn 0.000 0.000 0.400
Zn 0.000 0.000 0.600
Zn 0.000 0.000 0.797
Rh 0.500 0.500 0.097
Rh 0.500 0.500 0.299
Rh 0.500 0.500 0.500
Rh 0.500 0.500 0.701
Rh 0.500 0.500 0.903
```

[6]
Computed, not measured: a relaxed structure of AlZn2Cd at the GGA-PBE level of DFT. Values from VASP.

Properties
Space group: P2/m (10)
Total energy: -1.722 eV/atom
Energy of formation: 0.0794 eV per atom
Excess energy over the best structure of this formula in the dataset: 20.0 meV per atom

```
&SYSTEM
  ibrav = 0, nat = 4, ntyp = 3
/
ATOMIC_SPECIES
Zn 65.41 Zn.upf
Al 26.98 Al.upf
Cd 112.41 Cd.upf
CELL_PARAMETERS angstrom
-2.202 -1.071 3.149
1.982 -1.966 0.717
4.921 2.121 4.162
ATOMIC_POSITIONS crystal
Zn 0.000 0.976 0.026
Zn 0.000 0.524 0.474
Al 0.500 0.250 0.250
Cd 0.500 0.750 0.750
```

[7]
Computed, not measured: a relaxed structure of Y3ReC3 at the GGA-PBE level of DFT. Values from VASP.

Properties
Space group: Cmcm (63)
Total energy: -8.889 eV/atom
Energy of formation: -0.3873 eV per atom

```
&SYSTEM
  ibrav = 0, nat = 14, ntyp = 3
/
ATOMIC_SPECIES
Y 88.91 Y.upf
Re 186.21 Re.upf
C 12.01 C.upf
CELL_PARAMETERS angstrom
5.159 0.000 0.000
0.000 6.711 -1.264
0.000 0.014 6.829
ATOMIC_POSITIONS crystal
Y 0.750 0.594 0.830
Y 0.750 0.109 0.891
Y 0.750 0.170 0.406
Y 0.250 0.406 0.170
Y 0.250 0.891 0.109
Y 0.250 0.830 0.594
Re 0.250 0.308 0.692
Re 0.750 0.692 0.308
C 0.250 0.584 0.829
C 0.250 0.124 0.876
C 0.250 0.171 0.416
C 0.750 0.416 0.171
C 0.750 0.876 0.124
C 0.750 0.829 0.584
```

[8]
Computed, not measured: a relaxed structure of LaSiCl at the GGA-PBE level of DFT. Values from VASP.

Properties
Space group: F-43m (216)
Total energy: -4.580 eV/atom
Energy relative to the elements, uncorrected: -0.514 eV/atom

```
&SYSTEM
  ibrav = 0, nat = 3, ntyp = 3
/
ATOMIC_SPECIES
Cl 35.45 Cl.upf
La 138.91 La.upf
Si 28.09 Si.upf
CELL_PARAMETERS angstrom
-3.744 2.795 1.876
-2.287 -1.391 4.264
0.710 2.655 4.219
ATOMIC_POSITIONS crystal
Cl 0.500 0.500 0.500
La 0.750 0.750 0.750
Si 0.000 0.000 0.000
```

[9]
Computed, not measured: a relaxed structure of DyHoMgBi at the GGA-PBE level of DFT. Values from VASP.

Properties
Space group: F-43m (216)
Total energy: -3.950 eV/atom
Energy of formation: -0.2858 eV per atom

```
&SYSTEM
  ibrav = 0, nat = 4, ntyp = 4
/
ATOMIC_SPECIES
Mg 24.30 Mg.upf
Dy 162.50 Dy.upf
Bi 208.98 Bi.upf
Ho 164.93 Ho.upf
CELL_PARAMETERS angstrom
5.415 0.000 0.000
2.708 4.690 0.000
2.708 1.563 4.421
ATOMIC_POSITIONS crystal
Mg 0.000 0.000 0.000
Dy 0.750 0.750 0.750
Bi 0.500 0.500 0.500
Ho 0.250 0.250 0.250
```

[10]
Computed, not measured: a relaxed structure of CsSnSe2 at the GGA-PBE level of DFT. Values from VASP.

Properties
Space group: R-3m (166)
Total energy: -3.401 eV/atom
Energy relative to the elements, uncorrected: -0.445 eV/atom

```
&SYSTEM
  ibrav = 0, nat = 4, ntyp = 3
/
ATOMIC_SPECIES
Cs 132.91 Cs.upf
Sn 118.71 Sn.upf
Se 78.96 Se.upf
CELL_PARAMETERS angstrom
-6.680 6.812 3.453
-7.515 3.493 5.854
-4.375 6.063 6.859
ATOMIC_POSITIONS crystal
Cs 0.000 0.000 0.000
Sn 0.500 0.500 0.500
Se 0.886 0.886 0.886
Se 0.114 0.114 0.114
```

[11]
Computed, not measured: a relaxed structure of ZrHgCl6 at the GGA-PBE level of DFT. Values from VASP.

Properties
Space group: C2/m (12)
Total energy: -3.768 eV/atom
Energy relative to the elements, uncorrected: -1.277 eV/atom
Excess energy over the best structure of this formula in the dataset: 0.0 meV per atom

```
&SYSTEM
  ibrav = 0, nat = 8, ntyp = 3
/
ATOMIC_SPECIES
Zr 91.22 Zr.upf
Hg 200.59 Hg.upf
Cl 35.45 Cl.upf
CELL_PARAMETERS angstrom
6.670 0.006 -0.035
0.054 5.972 3.433
-0.006 0.000 6.888
ATOMIC_POSITIONS crystal
Zr 0.000 0.021 0.021
Hg 0.500 0.021 0.021
Cl 0.779 0.729 0.312
Cl 0.221 0.312 0.729
Cl 0.225 0.020 0.313
Cl 0.225 0.729 0.020
Cl 0.775 0.020 0.729
Cl 0.775 0.313 0.020
```

[12]
Computed, not measured: a relaxed structure of MgZr2Fe at the GGA-PBE level of DFT. Values from VASP.

Properties
Space group: Pm (6)
Total energy: -6.622 eV/atom
Energy of formation: 0.1664 eV per atom

```
&SYSTEM
  ibrav = 0, nat = 4, ntyp = 3
/
ATOMIC_SPECIES
Fe 55.84 Fe.upf
Mg 24.30 Mg.upf
Zr 91.22 Zr.upf
CELL_PARAMETERS angstrom
-4.217 -1.064 -0.312
0.717 -3.046 0.699
-0.381 -0.166 5.725
ATOMIC_POSITIONS crystal
Fe 0.000 0.659 0.446
Mg 0.500 0.587 0.756
Zr 0.000 0.981 0.989
Zr 0.500 0.273 0.309
```